No. 1
## GdHfGa (PBE)

Data for a geometry-optimized GdHfGa structure.

a b c (Å): 3.318 3.318 12.546
angles (deg): 90.00 90.00 90.00
Space group I4mm (No. 107)
One atom of each set of equivalent atoms:
1 Gd 0.000 0.000 0.000 x2
2 Hf 0.000 0.000 0.307 x2
3 Ga 0.000 0.000 0.668 x2

Output
Energy above the lowest structure with this stoichiometry, meV per atom: 0

=====

No. 2
## LiGdHfGa (PBE)

Data for a geometry-optimized LiGdHfGa structure.

a b c (Å): 6.924 6.924 6.924
angles (deg): 90.00 90.00 90.00
Space group F-43m (No. 216)
One atom of each set of equivalent atoms:
1 Li 0.000 0.000 0.000 x4
2 Gd 0.250 0.250 0.750 x4
3 Hf 0.250 0.250 0.250 x4
4 Ga 0.000 0.000 0.500 x4

=====

No. 3
## GdHfGaOs (PBE)

Data for a geometry-optimized GdHfGaOs structure.

a b c (Å): 6.805 6.805 6.805
angles (deg): 90.00 90.00 90.00
Space group F-43m (No. 216)
One atom of each set of equivalent atoms:
1 Gd 0.000 0.000 0.000 x4
2 Hf 0.000 0.000 0.500 x4
3 Ga 0.250 0.250 0.250 x4
4 Os 0.250 0.250 0.750 x4

=====

No. 4
## GdHfGaTc (PBE)

Data for a geometry-optimized GdHfGaTc structure.

a b c (Å): 6.819 6.819 6.819
angles (deg): 90.00 90.00 90.00
Space group F-43m (No. 216)
One atom of each set of equivalent atoms:
1 Gd 0.000 0.000 0.000 x4
2 Hf 0.000 0.000 0.500 x4
3 Ga 0.250 0.250 0.750 x4
4 Tc 0.250 0.250 0.250 x4

=====

No. 5
## GdGa2Hg (PBE)

Data for a geometry-optimized GdGa2Hg structure.

a b c (Å): 4.495 4.495 4.275
angles (deg): 90.00 90.00 90.00
Space group P4/mmm (No. 123)
One atom of each set of equivalent atoms:
1 Gd 0.000 0.000 0.000 x1
2 Ga 0.000 0.500 0.500 x2
3 Hg 0.500 0.500 0.000 x1

Output
Energy above the lowest structure with this stoichiometry, meV per atom: 0

=====

No. 6
## GdGaHg (PBE)

Data for a geometry-optimized GdGaHg structure.

a b c (Å): 4.7093 4.7093 3.5702
angles (deg): 90.00 90.00 120.00
Space group P-6m2 (No. 187)
One atom of each set of equivalent atoms:
1 Gd 0.0000 0.0000 0.0000 x1
2 Ga 0.6667 0.3333 0.5000 x1
3 Hg 0.3333 0.6667 0.5000 x1

=====

no.,raw total energy (eV per atom),energy relative to the elements (eV/f.u.)
1,-9.2555,-0.71
2,-7.3834,-0.56
3,-9.8637,-1.16
4,-9.6092,-1.01
5,-5.5373,-1.71
6,-6.3186,-1.55